Below is an optimized crystal structure of Sc6TlZn5, with properties calculated at the GGA-PBE level.

Cell: 7.581 7.581 6.824 Å, 90.00 90.00 143.22°
Positions (direct):
Sc  0.000  0.000  0.237
Sc  0.000  0.000  0.763
Sc  0.329  0.671  0.242
Sc  0.329  0.671  0.758
Sc  0.671  0.329  0.242
Sc  0.671  0.329  0.758
Tl  0.500  0.500  0.500
Zn  0.165  0.835  0.000
Zn  0.170  0.830  0.500
Zn  0.500  0.500  0.000
Zn  0.830  0.170  0.500
Zn  0.835  0.165  0.000

Summary:
crystal system	orthorhombic
size of the total moment	0.001	μB/cell
ΔH_f (0 K)	-354	meV/atom